a) Entry from Alexandria via LeMat-Bulk: a geometry-optimized Pu2IO structure (PBE).

- M_tot (μB/atom) = 0.274
- crystal system = trigonal

Structure (POSCAR):
```
Pu2IO
1.0
4.1625 0.0000 0.0000
-2.0812 3.6048 0.0000
0.0000 0.0000 17.5907
Pu I O
6 3 3
Direct
0.0000 0.0000 0.1839 Pu
0.0000 0.0000 0.8161 Pu
0.3333 0.6667 0.4828 Pu
0.3333 0.6667 0.8505 Pu
0.6667 0.3333 0.1495 Pu
0.6667 0.3333 0.5172 Pu
0.0000 0.0000 0.0000 I
0.3333 0.6667 0.6667 I
0.6667 0.3333 0.3333 I
0.0000 0.0000 0.5000 O
0.3333 0.6667 0.1667 O
0.6667 0.3333 0.8333 O
```

=====

b) Entry from Alexandria via LeMat-Bulk: a geometry-optimized Pu2IO structure (PBE).

- M_tot (μB/atom) = 3.221
- crystal system = tetragonal

Structure (POSCAR):
```
Pu2IO
1.0
3.3879 0.0000 0.0000
0.0000 3.3879 0.0000
0.0000 0.0000 7.5455
Pu I O
2 1 1
Direct
0.0000 0.0000 0.1983 Pu
0.0000 0.0000 0.8017 Pu
0.5000 0.5000 0.5000 I
0.5000 0.5000 0.0000 O
```

=====

Pick b): it beats the second-best structure by 31.0 kJ/mol of atoms.

=====

a) Entry from Alexandria via LeMat-Bulk: a geometry-optimized Rb2IO structure (PBE).

- M_tot (μB/atom) = 0.250
- crystal system = orthorhombic

Structure (POSCAR):
```
Rb2IO
1.0
8.2993 0.0000 0.0000
0.0000 5.6954 0.0000
0.0000 0.0000 12.1284
Rb I O
8 4 4
Direct
0.0851 0.2500 0.2134 Rb
0.1347 0.2500 0.5597 Rb
0.3653 0.7500 0.0597 Rb
0.4149 0.7500 0.7134 Rb
0.5851 0.2500 0.2866 Rb
0.6347 0.2500 0.9403 Rb
0.8653 0.7500 0.4403 Rb
0.9149 0.7500 0.7866 Rb
0.1805 0.2500 0.8843 I
0.3195 0.7500 0.3843 I
0.6805 0.2500 0.6157 I
0.8195 0.7500 0.1157 I
0.1112 0.7500 0.6111 O
0.3888 0.2500 0.1111 O
0.6112 0.7500 0.8889 O
0.8888 0.2500 0.3889 O
```

=====

b) Entry from Alexandria via LeMat-Bulk: a geometry-optimized Rb2IO structure (PBE).

- M_tot (μB/atom) = 0.250
- crystal system = tetragonal

Structure (POSCAR):
```
Rb2IO
1.0
8.5802 0.0000 0.0000
0.0000 8.5802 0.0000
0.0000 0.0000 8.7473
Rb I O
8 4 4
Direct
0.1687 0.2500 0.1250 Rb
0.2500 0.6687 0.3750 Rb
0.2500 0.8313 0.8750 Rb
0.3313 0.2500 0.6250 Rb
0.6687 0.7500 0.6250 Rb
0.7500 0.1687 0.8750 Rb
0.7500 0.3313 0.3750 Rb
0.8313 0.7500 0.1250 Rb
0.0000 0.0000 0.5000 I
0.0000 0.5000 0.7500 I
0.5000 0.0000 0.2500 I
0.5000 0.5000 0.0000 I
0.0000 0.0000 0.0000 O
0.0000 0.5000 0.2500 O
0.5000 0.0000 0.7500 O
0.5000 0.5000 0.5000 O
```

=====

c) Entry from Alexandria via LeMat-Bulk: a geometry-optimized Rb2IO structure (PBE).

- M_tot (μB/atom) = 0.250
- crystal system = cubic

Structure (POSCAR):
```
Rb2IO
1.0
8.3184 0.0000 0.0000
0.0000 8.3184 0.0000
0.0000 0.0000 8.3184
Rb I O
8 4 4
Direct
0.2500 0.2500 0.2500 Rb
0.2500 0.2500 0.7500 Rb
0.2500 0.7500 0.2500 Rb
0.2500 0.7500 0.7500 Rb
0.7500 0.2500 0.2500 Rb
0.7500 0.2500 0.7500 Rb
0.7500 0.7500 0.2500 Rb
0.7500 0.7500 0.7500 Rb
0.0000 0.0000 0.0000 I
0.0000 0.5000 0.5000 I
0.5000 0.0000 0.5000 I
0.5000 0.5000 0.0000 I
0.0000 0.0000 0.5000 O
0.0000 0.5000 0.0000 O
0.5000 0.0000 0.0000 O
0.5000 0.5000 0.5000 O
```

=====

Pick a): it beats the second-best structure by 4.6 kJ/mol of atoms.

=====

a) Entry from Alexandria via LeMat-Bulk: a geometry-optimized Rb4IO structure (PBE).

- M_tot (μB/atom) = 0.000
- crystal system = monoclinic

Structure (POSCAR):
```
Rb4IO
1.0
10.1230 -4.1036 0.0000
10.1230 4.1036 0.0000
-1.7048 0.0000 7.7767
Rb I O
8 2 2
Direct
0.1207 0.6580 0.5468 Rb
0.2037 0.2037 0.1325 Rb
0.2093 0.7907 0.0000 Rb
0.3420 0.8793 0.4532 Rb
0.6580 0.1207 0.5468 Rb
0.7907 0.2093 0.0000 Rb
0.7963 0.7963 0.8675 Rb
0.8793 0.3420 0.4532 Rb
0.2618 0.2618 0.7125 I
0.7382 0.7382 0.2875 I
0.0860 0.0860 0.2147 O
0.9140 0.9140 0.7853 O
```

=====

b) Entry from Alexandria via LeMat-Bulk: a geometry-optimized Rb4IO structure (PBE).

- M_tot (μB/atom) = 0.000
- crystal system = monoclinic

Structure (POSCAR):
```
Rb4IO
1.0
5.6509 0.0000 0.0000
0.0000 8.1045 0.0000
-2.8338 0.0000 12.1962
Rb I O
8 2 2
Direct
0.0000 0.0000 0.0000 Rb
0.0000 0.5000 0.0000 Rb
0.1657 0.0113 0.3301 Rb
0.1657 0.4887 0.3301 Rb
0.4177 0.7500 0.8363 Rb
0.5823 0.2500 0.1637 Rb
0.8343 0.5113 0.6699 Rb
0.8343 0.9887 0.6699 Rb
0.4249 0.2500 0.8504 I
0.5751 0.7500 0.1496 I
0.0886 0.2500 0.1759 O
0.9114 0.7500 0.8241 O
```

=====

Pick b): it beats the second-best structure by 2.4 kJ/mol of atoms.